Record 1
# LiPmPr6, relaxed, DFT GGA-PBE
# DOS at the Fermi energy (states/eV/f.u.): 14.28
# SG: No. 69
# ΔH_f (0 K) (eV/f.u.): 0.7
# Distance to the lowest polymorph of the same formula (meV/atom): 0
data_LiPmPr6
_chemical_formula_sum 'Li1 Pm1 Pr6'
_cell_length_a 10.8197
_cell_length_b 10.8190
_cell_length_c 5.1947
_cell_angle_alpha 76.12
_cell_angle_beta 76.10
_cell_angle_gamma 27.78
_space_group_name_H-M_alt 'P 1'
_space_group_IT_number 1
loop_
_space_group_symop_operation_xyz
'x,y,z'
loop_
_atom_site_label
_atom_site_type_symbol
_atom_site_fract_x
_atom_site_fract_y
_atom_site_fract_z
_atom_site_occupancy
Li1 Li 0.0000 0.0000 0.0000 1
Pm1 Pm 0.5000 0.5000 0.5000 1
Pr1 Pr 0.1219 0.1219 0.3781 1
Pr2 Pr 0.2514 0.2514 0.7486 1
Pr3 Pr 0.3781 0.3781 0.1219 1
Pr4 Pr 0.6219 0.6219 0.8781 1
Pr5 Pr 0.7486 0.7486 0.2514 1
Pr6 Pr 0.8781 0.8781 0.6219 1

---

Record 2
# CaHg3Cl, relaxed, DFT GGA-PBE
# DOS at the Fermi energy (states/eV/f.u.): 1.92
# SG: No. 221
# Distance to the lowest polymorph of the same formula (meV/atom): 0
data_CaHg3Cl
_chemical_formula_sum 'Ca1 Hg3 Cl1'
_cell_length_a 6.0882
_cell_length_b 6.0882
_cell_length_c 6.0882
_cell_angle_alpha 90.00
_cell_angle_beta 90.00
_cell_angle_gamma 90.00
_space_group_name_H-M_alt 'P 1'
_space_group_IT_number 1
loop_
_space_group_symop_operation_xyz
'x,y,z'
loop_
_atom_site_label
_atom_site_type_symbol
_atom_site_fract_x
_atom_site_fract_y
_atom_site_fract_z
_atom_site_occupancy
Ca1 Ca 0.0000 0.0000 0.0000 1
Hg1 Hg 0.0000 0.0000 0.5000 1
Hg2 Hg 0.0000 0.5000 0.0000 1
Hg3 Hg 0.5000 0.0000 0.0000 1
Cl1 Cl 0.5000 0.5000 0.5000 1

---

Record 3
# BaTa2Al, relaxed, DFT GGA-PBE
# DOS at the Fermi energy (states/eV/f.u.): 3.14
# SG: No. 44
# ΔH_f (0 K) (eV/f.u.): 3.4
data_BaTa2Al
_chemical_formula_sum 'Ba1 Ta2 Al1'
_cell_length_a 6.4263
_cell_length_b 6.4263
_cell_length_c 6.4263
_cell_angle_alpha 152.34
_cell_angle_beta 127.17
_cell_angle_gamma 60.66
_space_group_name_H-M_alt 'P 1'
_space_group_IT_number 1
loop_
_space_group_symop_operation_xyz
'x,y,z'
loop_
_atom_site_label
_atom_site_type_symbol
_atom_site_fract_x
_atom_site_fract_y
_atom_site_fract_z
_atom_site_occupancy
Ba1 Ba 0.0000 0.0000 0.0000 1
Ta1 Ta 0.2881 0.7881 0.5000 1
Ta2 Ta 0.4877 0.4877 0.0000 1
Al1 Al 0.7113 0.2113 0.5000 1

---

Question: Which of these has the lowest DOS at the Fermi energy?
Answer: CaHg3Cl